No. 1
The following is a DFT calculation (PBE) of HoCd2Hg6 after structural relaxation.

Values from the calculation:
- formation energy (eV per formula unit) = -0.1
- VASP energy (eV per atom) = -0.927
- space group = R3

Lattice parameters (Å, degrees): 6.4265 6.4265 7.9693 66.22 66.22 60.00
Positions (direct):
1 Hg 0.9342 0.1414 0.3371
2 Hg 0.1414 0.5873 0.3371
3 Hg 0.5873 0.9342 0.3371
4 Hg 0.2229 0.7782 0.7097
5 Hg 0.7782 0.2892 0.7097
6 Hg 0.2892 0.2229 0.7097
7 Ho 0.3208 0.3208 0.0376
8 Cd 0.7635 0.7635 0.7094
9 Cd 0.6281 0.6281 0.1158

***

No. 2
The following is a DFT calculation (PBE) of Ho2CdHg2 after structural relaxation.

Values from the calculation:
- formation energy (eV per formula unit) = -2.0
- VASP energy (eV per atom) = -2.536
- space group = P4/mnc

Lattice parameters (Å, degrees): 8.0238 8.0238 7.9071 90.00 90.00 90.00
Positions (direct):
1 Ho 0.3321 0.1662 0.5000
2 Ho 0.6679 0.8338 0.5000
3 Ho 0.8321 0.3338 0.0000
4 Ho 0.1662 0.6679 0.5000
5 Ho 0.8338 0.3321 0.5000
6 Ho 0.6662 0.8321 0.0000
7 Ho 0.1679 0.6662 0.0000
8 Ho 0.3338 0.1679 0.0000
9 Hg 0.3668 0.8668 0.7500
10 Hg 0.6332 0.1332 0.2500
11 Hg 0.1332 0.3668 0.2500
12 Hg 0.3668 0.8668 0.2500
13 Hg 0.1332 0.3668 0.7500
14 Hg 0.6332 0.1332 0.7500
15 Hg 0.8668 0.6332 0.2500
16 Hg 0.8668 0.6332 0.7500
17 Cd 0.5000 0.5000 0.7875
18 Cd 0.0000 0.0000 0.7125
19 Cd 0.5000 0.5000 0.2125
20 Cd 0.0000 0.0000 0.2875

***

No. 3
The following is a DFT calculation (PBE) of HoCdHg after structural relaxation.

Values from the calculation:
- formation energy (eV per formula unit) = -0.9
- VASP energy (eV per atom) = -2.217
- space group = I4mm

Lattice parameters (Å, degrees): 3.4687 3.4687 6.5450 105.37 105.37 90.00
Each line ends with the local moment (μB).
Positions (direct):
1 Cd 0.6110 0.6110 0.2220  0.00
2 Ho 0.2874 0.2874 0.5748  0.13
3 Hg 0.9516 0.9516 0.9032  0.00

***

No. 4
The following is a DFT calculation (PBE) of HoCd3Hg2 after structural relaxation.

Values from the calculation:
- formation energy (eV per formula unit) = -0.7
- VASP energy (eV per atom) = -1.440
- space group = Cmcm

Lattice parameters (Å, degrees): 5.7697 6.5760 8.4397 112.93 90.00 90.00
Positions (direct):
1 Hg 0.0000 0.2484 0.0000
2 Hg 0.0000 0.7516 0.0000
3 Hg 0.5000 0.2484 0.0000
4 Hg 0.5000 0.7516 0.0000
5 Ho 0.2500 0.6469 0.2937
6 Ho 0.7500 0.3531 0.7063
7 Cd 0.7500 0.8409 0.6818
8 Cd 0.7500 0.9312 0.3502
9 Cd 0.2500 0.1591 0.3182
10 Cd 0.2500 0.0688 0.6498
11 Cd 0.2500 0.5810 0.6498
12 Cd 0.7500 0.4190 0.3502

***

> What is the formula in the fourth record?

HoCd3Hg2

***

> Which formula does entry 1 have?

HoCd2Hg6